Computed, not measured: crystalline CrSiAsSe2 at its relaxed geometry at the PBE-GGA level of DFT.

Cell and atoms, written as CIF:
```
data_CrSiAsSe2
_cell_length_a 4.758
_cell_length_b 4.758
_cell_length_c 4.706
_cell_angle_alpha 90.00
_cell_angle_beta 90.00
_cell_angle_gamma 90.00
_symmetry_space_group_name_H-M 'P 4/m m m'
_symmetry_Int_Tables_number 123
_symmetry_space_group_name_Hall '-P 4 2'
loop_
_atom_site_label
_atom_site_type_symbol
_atom_site_fract_x
_atom_site_fract_y
_atom_site_fract_z
_atom_site_occupancy
Cr1 Cr 0.000 0.000 0.000 1
Si1 Si 0.500 0.500 0.500 1
As1 As 0.500 0.500 0.000 1
Se1 Se 0.000 0.500 0.500 1
```

theoretical density	4.88	g cm⁻³
offset from the most stable computed form	11.04	kcal/mol of atoms
ΔE_f (raw)	1.007	eV per atom
N(E_F)	5.18	states/eV/f.u.